Here is a geometry-optimized Ta2BiMoF structure from Alexandria. Energies are from GGA+U.

abc: 4.4803 4.4803 4.4877
angles: 90.00 90.00 90.00
With the nearest neighbours (Å) after each atom.
Fractional positions:
Ta  0.0000  0.5000  0.0000  2 F 2.24
Ta  0.5000  0.0000  0.0000  2 F 2.24
Bi  0.0000  0.0000  0.5000  4 Mo 3.17, 8 Ta 3.17
Mo  0.5000  0.5000  0.5000  2 F 2.24
F  0.5000  0.5000  0.0000  4 Ta 2.24, 2 Mo 2.24

The value obtained for the size of the total moment is 1.46 μB per cell. The value obtained for the energy is -6.70 eV/atom. Its symmetry is No. 123. The theoretical density is 12642 kg/m3.